[1]
This record from Alexandria describes crystalline HoZnGaCo at its relaxed geometry. The functional is PBE.

abc: 4.5447 4.5447 4.5447
angles: 60.00 60.00 60.00
Last column: nearest neighbours and their distance in Å.
Element x y z (fractional)
Ho (0.0000, 0.0000, 0.0000)  4 Co 2.78, 4 Zn 2.78
Zn (0.7500, 0.7500, 0.7500)  4 Ga 2.78, 4 Ho 2.78
Ga (0.5000, 0.5000, 0.5000)  4 Zn 2.78, 4 Co 2.78
Co (0.2500, 0.2500, 0.2500)  4 Ga 2.78, 4 Ho 2.78



[2]
This record from Alexandria describes crystalline BeC at its relaxed geometry. The functional is PBE.

abc: 4.7893 4.7893 4.7893
angles: 109.47 109.47 109.47
Last column: nearest neighbours and their distance in Å.
Element x y z (fractional)
Be (0.0000, 0.0000, 0.7122)  4 C 1.68-1.82
Be (0.0000, 0.7122, 0.0000)  4 C 1.68-1.82
Be (0.2878, 0.2878, 0.2878)  4 C 1.68-1.82
Be (0.7122, 0.0000, 0.0000)  4 C 1.68-1.82
C (0.0000, 0.0000, 0.3620)  4 Be 1.68-1.82
C (0.0000, 0.3620, 0.0000)  4 Be 1.68-1.82
C (0.3620, 0.0000, 0.0000)  4 Be 1.68-1.82
C (0.6380, 0.6380, 0.6380)  4 Be 1.68-1.82



Number 1: ΔE_f -193 meV/atom. Number 2: ΔE_f 1388 meV/atom.